# 1
VASP calculation (PBE) on an optimized crystal structure of AlBH.

Cell lengths 3.008, 4.212, 5.137 Å; angles 87.93, 73.24, 89.95 degrees
Fractional positions:
1 Al 0.000 0.000 0.000
2 Al 0.275 0.824 0.452
3 B 0.201 0.316 0.602
4 B 0.774 0.400 0.453
5 H 0.087 0.414 0.839
6 H 0.898 0.400 0.200

D(E_F) = 0.588 states/eV/cell
Raw total energy = -4.431 eV per atom
Space group = P1 (1)



# 2
VASP calculation (PBE) on an optimized crystal structure of AlBH.

Cell lengths 6.046, 6.046, 4.266 Å; angles 110.65, 110.65, 29.06 degrees
Fractional positions:
1 Al 0.076 0.076 0.323
2 Al 0.924 0.924 0.677
3 B 0.272 0.272 0.599
4 B 0.728 0.728 0.401
5 H 0.300 0.300 0.904
6 H 0.700 0.700 0.096

D(E_F) = 0.994 states/eV/cell
Raw total energy = -4.482 eV per atom
Space group = C2/m (12)



# 3
VASP calculation (PBE) on an optimized crystal structure of AlBH.

Cell lengths 3.015, 3.015, 6.800 Å; angles 99.16, 99.16, 60.06 degrees
Fractional positions:
1 Al 0.233 0.233 0.268
2 Al 0.767 0.767 0.732
3 B 0.157 0.157 0.963
4 B 0.843 0.843 0.037
5 H 0.394 0.394 0.612
6 H 0.606 0.606 0.388

D(E_F) = 0.663 states/eV/cell
Raw total energy = -4.380 eV per atom
Space group = C2/m (12)



# 4
VASP calculation (PBE) on an optimized crystal structure of AlBH.

Cell lengths 4.161, 3.027, 4.640 Å; angles 90.00, 101.80, 90.00 degrees
Fractional positions:
1 Al 0.062 0.250 0.250
2 Al 0.938 0.750 0.750
3 B 0.417 0.750 0.549
4 B 0.583 0.250 0.451
5 H 0.430 0.750 0.820
6 H 0.570 0.250 0.180

D(E_F) = 0.388 states/eV/cell
Raw total energy = -4.560 eV per atom
Space group = P2_1/m (11)



# 5
VASP calculation (PBE) on an optimized crystal structure of AlBH.

Cell lengths 3.729, 3.814, 5.070 Å; angles 88.91, 70.45, 61.04 degrees
Fractional positions:
1 Al 0.000 0.000 0.000
2 Al 0.030 0.517 0.437
3 B 0.323 0.947 0.554
4 B 0.553 0.644 0.211
5 H 0.575 0.038 0.614
6 H 0.607 0.811 0.997

D(E_F) = 0.087 states/eV/cell
Raw total energy = -4.432 eV per atom
Space group = P1 (1)



# 6
VASP calculation (PBE) on an optimized crystal structure of AlBH.

Cell lengths 3.620, 3.620, 4.817 Å; angles 106.11, 106.11, 66.69 degrees
Fractional positions:
1 Al 0.216 0.216 0.192
2 Al 0.784 0.784 0.808
3 B 0.104 0.104 0.681
4 B 0.896 0.896 0.319
5 H 0.312 0.312 0.689
6 H 0.688 0.688 0.311

D(E_F) = 0.446 states/eV/cell
Raw total energy = -4.427 eV per atom
Space group = C2/m (12)



# 7
VASP calculation (PBE) on an optimized crystal structure of AlB6H2.

Cell lengths 3.150, 4.464, 6.372 Å; angles 76.94, 82.19, 75.65 degrees
Fractional positions:
1 Al 0.000 0.000 0.000
2 B 0.078 0.158 0.644
3 B 0.245 0.503 0.522
4 B 0.380 0.862 0.470
5 B 0.620 0.138 0.530
6 B 0.755 0.497 0.478
7 B 0.922 0.842 0.356
8 H 0.443 0.254 0.006
9 H 0.557 0.746 0.994

D(E_F) = 0.777 states/eV/cell
Raw total energy = -5.301 eV per atom
Space group = P-1 (2)



# 8
VASP calculation (PBE) on an optimized crystal structure of Al2BH6.

Cell lengths 4.490, 4.490, 4.490 Å; angles 60.00, 60.00, 60.00 degrees
Fractional positions:
1 Al 0.250 0.250 0.250
2 Al 0.750 0.750 0.750
3 B 0.000 0.000 0.000
4 H 0.228 0.228 0.772
5 H 0.228 0.772 0.228
6 H 0.228 0.772 0.772
7 H 0.772 0.228 0.228
8 H 0.772 0.228 0.772
9 H 0.772 0.772 0.228

D(E_F) = 1.418 states/eV/cell
Raw total energy = -3.246 eV per atom
Space group = Fm-3m (225)



# 9
VASP calculation (PBE) on an optimized crystal structure of AlBH.

Cell lengths 3.624, 3.768, 4.346 Å; angles 103.96, 99.68, 107.09 degrees
Fractional positions:
1 Al 0.172 0.385 0.231
2 Al 0.828 0.615 0.769
3 B 0.154 0.196 0.681
4 B 0.846 0.804 0.319
5 H 0.452 0.119 0.782
6 H 0.548 0.881 0.218

D(E_F) = 0.488 states/eV/cell
Raw total energy = -4.495 eV per atom
Space group = P-1 (2)



# 10
VASP calculation (PBE) on an optimized crystal structure of AlBH.

Cell lengths 3.077, 3.857, 5.077 Å; angles 89.58, 73.81, 89.94 degrees
Fractional positions:
1 Al 0.142 0.448 0.228
2 Al 0.858 0.552 0.772
3 B 0.285 0.935 0.925
4 B 0.715 0.065 0.075
5 H 0.397 0.019 0.679
6 H 0.603 0.981 0.321

D(E_F) = 0.780 states/eV/cell
Raw total energy = -4.461 eV per atom
Space group = P-1 (2)



# 11
VASP calculation (PBE) on an optimized crystal structure of AlB2H6.

Cell lengths 4.342, 4.342, 4.408 Å; angles 105.52, 105.52, 98.34 degrees
Fractional positions:
1 Al 0.000 0.000 0.000
2 B 0.165 0.165 0.621
3 B 0.835 0.835 0.379
4 H 0.085 0.393 0.801
5 H 0.302 0.302 0.459
6 H 0.393 0.085 0.801
7 H 0.607 0.915 0.199
8 H 0.698 0.698 0.541
9 H 0.915 0.607 0.199

D(E_F) = 1.276 states/eV/cell
Raw total energy = -4.028 eV per atom
Space group = C2/m (12)



# 12
VASP calculation (PBE) on an optimized crystal structure of AlBH.

Cell lengths 2.996, 4.501, 4.637 Å; angles 102.36, 90.76, 107.63 degrees
Fractional positions:
1 Al 0.000 0.000 0.000
2 Al 0.500 0.000 0.500
3 B 0.223 0.444 0.419
4 B 0.777 0.556 0.581
5 H 0.219 0.444 0.148
6 H 0.781 0.556 0.852

D(E_F) = 0.785 states/eV/cell
Raw total energy = -4.462 eV per atom
Space group = P-1 (2)